Record 1
Crystalline ReTePN2 at its relaxed geometry, computed with GGA-PBE. Values from VASP.

Summary:
distance to the lowest polymorph of the same formula: 0.9991 eV per atom
ΔE_f (raw): 1.7194 eV/atom

Geometry as Quantum ESPRESSO input:
```
&SYSTEM
  ibrav = 0, nat = 5, ntyp = 4
/
ATOMIC_SPECIES
Re 186.21 Re.upf
Te 127.60 Te.upf
P 30.97 P.upf
N 14.01 N.upf
CELL_PARAMETERS angstrom
3.5858 0.0000 0.0000
0.0000 3.5858 0.0000
0.0000 0.0000 7.1129
ATOMIC_POSITIONS crystal
Re 0.0000 0.0000 0.0000
Te 0.5000 0.5000 0.0000
P 0.5000 0.5000 0.5000
N 0.0000 0.5000 0.5000
N 0.5000 0.0000 0.5000
```

=====

Record 2
Crystalline K3RbTe4 at its relaxed geometry, computed with GGA-PBE. Values from VASP.

Summary:
ΔE_f (raw): -0.7363 eV/atom

Geometry as Quantum ESPRESSO input:
```
&SYSTEM
  ibrav = 0, nat = 8, ntyp = 3
/
ATOMIC_SPECIES
K 39.10 K.upf
Rb 85.47 Rb.upf
Te 127.60 Te.upf
CELL_PARAMETERS angstrom
-2.5734 3.5734 10.1868
2.5734 -3.5734 10.1868
2.5734 3.5734 -10.1868
ATOMIC_POSITIONS crystal
K 0.0000 0.0000 0.0000
K 0.2933 0.7933 0.5000
K 0.7067 0.2067 0.5000
Rb 0.5000 0.5000 0.0000
Te 0.0641 0.3688 0.6953
Te 0.3265 0.6312 0.6953
Te 0.6735 0.3688 0.3047
Te 0.9359 0.6312 0.3047
```

=====

Record 3
Crystalline CsAs2Cl2 at its relaxed geometry, computed with GGA-PBE. Values from VASP.

Summary:
distance to the lowest polymorph of the same formula: 0.5680 eV per atom
ΔE_f (raw): 0.0479 eV/atom

Geometry as Quantum ESPRESSO input:
```
&SYSTEM
  ibrav = 0, nat = 10, ntyp = 3
/
ATOMIC_SPECIES
Cs 132.91 Cs.upf
As 74.92 As.upf
Cl 35.45 Cl.upf
CELL_PARAMETERS angstrom
9.7245 0.0000 0.0000
0.0000 9.7245 0.0000
0.0000 0.0000 3.2593
ATOMIC_POSITIONS crystal
Cs 0.0000 0.0000 0.0000
Cs 0.5000 0.5000 0.0000
As 0.2224 0.2776 0.5000
As 0.2776 0.7776 0.5000
As 0.7224 0.2224 0.5000
As 0.7776 0.7224 0.5000
Cl 0.1356 0.6356 0.0000
Cl 0.3644 0.1356 0.0000
Cl 0.6356 0.8644 0.0000
Cl 0.8644 0.3644 0.0000
```

=====

Record 4
Crystalline Zr2CuHRh at its relaxed geometry, computed with GGA-PBE. Values from VASP.

Summary:
distance to the lowest polymorph of the same formula: 0.0379 eV per atom

Geometry as Quantum ESPRESSO input:
```
&SYSTEM
  ibrav = 0, nat = 5, ntyp = 4
/
ATOMIC_SPECIES
Zr 91.22 Zr.upf
Cu 63.55 Cu.upf
H 1.01 H.upf
Rh 102.91 Rh.upf
CELL_PARAMETERS angstrom
4.4860 0.0000 0.0000
0.0000 4.4860 0.0000
0.0000 0.0000 3.6839
ATOMIC_POSITIONS crystal
Zr 0.0000 0.5000 0.0000
Zr 0.5000 0.0000 0.0000
Cu 0.0000 0.0000 0.5000
H 0.5000 0.5000 0.0000
Rh 0.5000 0.5000 0.5000
```